[1]
VASP calculation (GGA-PBE) on a relaxed structure of RbBeB2.

Results
- DFT total energy (eV per formula unit) = -16.98

Cell lengths 5.973, 3.141, 13.680 Å; angles 90.00, 95.94, 90.00 degrees
Sites, in units of the cell vectors:
B  0.500  0.242  0.500
B  0.533  0.000  0.231
B  0.500  0.258  0.000
B  0.467  0.500  0.269
B  0.500  0.758  0.500
B  0.500  0.742  0.000
B  0.533  0.500  0.731
B  0.467  0.000  0.769
Be  0.457  0.500  0.861
Be  0.543  0.500  0.139
Be  0.457  0.000  0.361
Be  0.543  0.000  0.639
Rb  0.949  0.000  0.876
Rb  0.051  0.500  0.624
Rb  0.051  0.000  0.124
Rb  0.949  0.500  0.376

=====

[2]
VASP calculation (GGA-PBE) on a relaxed structure of VGa2W.

Results
- E above lowest polymorph (meV per atom) = 402

Cell lengths 6.883, 6.883, 5.561 Å; angles 51.77, 51.77, 90.00 degrees
Sites, in units of the cell vectors:
W  0.750  0.250  0.500
W  0.000  0.000  0.000
Ga  0.133  0.625  0.250
Ga  0.375  0.383  0.750
Ga  0.875  0.867  0.750
Ga  0.617  0.125  0.250
V  0.500  0.500  0.000
V  0.250  0.750  0.500

=====

[3]
VASP calculation (GGA-PBE) on a relaxed structure of Tb8Pm2Th.

Results
- E above lowest polymorph (meV per atom) = 0

Cell lengths 5.067, 8.006, 9.467 Å; angles 104.64, 105.53, 90.02 degrees
Sites, in units of the cell vectors:
Pm  0.228  0.636  0.456
Pm  0.772  0.364  0.544
Th  0.500  0.000  0.000
Tb  0.866  0.823  0.731
Tb  0.134  0.177  0.269
Tb  0.410  0.549  0.821
Tb  0.320  0.093  0.640
Tb  0.590  0.451  0.179
Tb  0.956  0.268  0.912
Tb  0.044  0.732  0.088
Tb  0.680  0.907  0.360

=====

[4]
VASP calculation (GGA-PBE) on a relaxed structure of Ni8SnPt2.

Results
- DFT total energy (eV per formula unit) = -63.37

Cell lengths 3.718, 5.850, 6.870 Å; angles 105.20, 105.70, 90.00 degrees
Sites, in units of the cell vectors:
Ni  0.044  0.718  0.087
Ni  0.317  0.090  0.634
Ni  0.589  0.461  0.177
Ni  0.138  0.182  0.275
Ni  0.411  0.539  0.823
Ni  0.956  0.282  0.913
Ni  0.862  0.818  0.725
Ni  0.683  0.910  0.366
Pt  0.776  0.357  0.552
Pt  0.224  0.643  0.448
Sn  0.500  0.000  0.000

=====

M_tot? In order: 0.00; 0.00; 0.00; 0.31 μB per atom.